No. 1
# PrInGe (PBE-GGA, relaxed)
# electronic total energy = -41.326 eV per cell
# crystal system = hexagonal
data_PrInGe
_cell_length_a 7.7060
_cell_length_b 7.7060
_cell_length_c 4.4216
_cell_angle_alpha 90.00
_cell_angle_beta 90.00
_cell_angle_gamma 120.00
_symmetry_space_group_name_H-M 'P -6 2 m'
_symmetry_Int_Tables_number 189
_symmetry_space_group_name_Hall 'P -6 -2'
loop_
_atom_site_label
_atom_site_type_symbol
_atom_site_fract_x
_atom_site_fract_y
_atom_site_fract_z
Pr1 Pr 0.0000 0.6140 0.0000
In1 In 0.0000 0.2646 0.5000
Ge1 Ge 0.0000 0.0000 0.0000
Ge2 Ge 0.3333 0.6667 0.5000


No. 2
# Pr2InGe (PBE-GGA, relaxed)
# electronic total energy = -38.999 eV per cell
# crystal system = orthorhombic
data_Pr2InGe
_cell_length_a 4.284
_cell_length_b 4.620
_cell_length_c 11.654
_cell_angle_alpha 90.00
_cell_angle_beta 90.00
_cell_angle_gamma 90.00
_symmetry_space_group_name_H-M 'A m m 2'
_symmetry_Int_Tables_number 38
_symmetry_space_group_name_Hall 'A 2 -2'
loop_
_atom_site_label
_atom_site_type_symbol
_atom_site_fract_x
_atom_site_fract_y
_atom_site_fract_z
Pr1 Pr 0.000 0.000 0.000
Pr2 Pr 0.500 0.000 0.283
In1 In 0.500 0.000 0.569
Ge1 Ge 0.000 0.000 0.728


No. 3
# PrInGe (PBE-GGA, relaxed)
# electronic total energy = -49.705 eV per cell
# crystal system = cubic
data_PrInGe
_cell_length_a 7.184
_cell_length_b 7.184
_cell_length_c 7.184
_cell_angle_alpha 90.00
_cell_angle_beta 90.00
_cell_angle_gamma 90.00
_symmetry_space_group_name_H-M 'F -4 3 m'
_symmetry_Int_Tables_number 216
_symmetry_space_group_name_Hall 'F -4 2 3'
loop_
_atom_site_label
_atom_site_type_symbol
_atom_site_fract_x
_atom_site_fract_y
_atom_site_fract_z
Pr1 Pr 0.000 0.000 0.000
In1 In 0.250 0.250 0.250
Ge1 Ge 0.250 0.250 0.750


No. 4
# Pr2InGePt4 (PBE-GGA, relaxed)
# electronic total energy = -48.027 eV per cell
# crystal system = trigonal
data_Pr2InGePt4
_cell_length_a 4.5535
_cell_length_b 4.5535
_cell_length_c 9.4380
_cell_angle_alpha 90.00
_cell_angle_beta 90.00
_cell_angle_gamma 120.00
_symmetry_space_group_name_H-M 'P -3 m 1'
_symmetry_Int_Tables_number 164
_symmetry_space_group_name_Hall '-P 3 2"'
loop_
_atom_site_label
_atom_site_type_symbol
_atom_site_fract_x
_atom_site_fract_y
_atom_site_fract_z
Pr1 Pr 0.3333 0.6667 0.2460
In1 In 0.0000 0.0000 0.5000
Ge1 Ge 0.0000 0.0000 0.0000
Pt1 Pt 0.3333 0.6667 0.5877
Pt2 Pt 0.3333 0.6667 0.9202


No. 5
# PrInGeSe4 (PBE-GGA, relaxed)
# electronic total energy = -64.349 eV per cell
# crystal system = monoclinic
data_PrInGeSe4
_cell_length_a 6.945
_cell_length_b 7.120
_cell_length_c 8.784
_cell_angle_alpha 90.00
_cell_angle_beta 106.89
_cell_angle_gamma 90.00
_symmetry_space_group_name_H-M 'P 1 21 1'
_symmetry_Int_Tables_number 4
_symmetry_space_group_name_Hall 'P 2yb'
loop_
_atom_site_label
_atom_site_type_symbol
_atom_site_fract_x
_atom_site_fract_y
_atom_site_fract_z
Pr1 Pr 0.229 0.000 0.056
In1 In 0.268 0.969 0.571
Ge1 Ge 0.225 0.530 0.815
Se1 Se 0.018 0.255 0.778
Se2 Se 0.024 0.273 0.236
Se3 Se 0.425 0.589 0.084
Se4 Se 0.430 0.548 0.642


No. 6
# Sc2In3GePt2 (PBE-GGA, relaxed)
# electronic total energy = -85.666 eV per cell
# crystal system = monoclinic
data_Sc2In3GePt2
_cell_length_a 10.235
_cell_length_b 4.353
_cell_length_c 7.228
_cell_angle_alpha 90.00
_cell_angle_beta 92.01
_cell_angle_gamma 90.00
_symmetry_space_group_name_H-M 'C 1 m 1'
_symmetry_Int_Tables_number 8
_symmetry_space_group_name_Hall 'C -2y'
loop_
_atom_site_label
_atom_site_type_symbol
_atom_site_fract_x
_atom_site_fract_y
_atom_site_fract_z
Sc1 Sc 0.000 0.000 0.000
Sc2 Sc 0.160 0.000 0.536
In1 In 0.198 0.500 0.824
In2 In 0.223 0.500 0.241
In3 In 0.451 0.000 0.328
Ge1 Ge 0.437 0.000 0.738
Pt1 Pt 0.288 0.000 0.017
Pt2 Pt 0.384 0.500 0.559


No. 7
# InRe3Ge5 (PBE-GGA, relaxed)
# electronic total energy = -60.194 eV per cell
# crystal system = hexagonal
data_InRe3Ge5
_cell_length_a 5.2078
_cell_length_b 5.2078
_cell_length_c 7.9723
_cell_angle_alpha 90.00
_cell_angle_beta 90.00
_cell_angle_gamma 120.00
_symmetry_space_group_name_H-M 'P 6/m m m'
_symmetry_Int_Tables_number 191
_symmetry_space_group_name_Hall '-P 6 2'
loop_
_atom_site_label
_atom_site_type_symbol
_atom_site_fract_x
_atom_site_fract_y
_atom_site_fract_z
In1 In 0.0000 0.0000 0.0000
Re1 Re 0.0000 0.5000 0.5000
Ge1 Ge 0.0000 0.0000 0.5000
Ge2 Ge 0.3333 0.6667 0.2147


No. 8
# InReGe (PBE-GGA, relaxed)
# electronic total energy = -71.056 eV per cell
# crystal system = cubic
# ΔE to the lowest computed polymorph = 0 meV per atom
data_InReGe
_cell_length_a 6.236
_cell_length_b 6.236
_cell_length_c 6.236
_cell_angle_alpha 90.00
_cell_angle_beta 90.00
_cell_angle_gamma 90.00
_symmetry_space_group_name_H-M 'F -4 3 m'
_symmetry_Int_Tables_number 216
_symmetry_space_group_name_Hall 'F -4 2 3'
loop_
_atom_site_label
_atom_site_type_symbol
_atom_site_fract_x
_atom_site_fract_y
_atom_site_fract_z
In1 In 0.000 0.000 0.000
Re1 Re 0.250 0.250 0.750
Ge1 Ge 0.000 0.000 0.500


No. 9
# TaInGeS5 (PBE-GGA, relaxed)
# electronic total energy = -88.925 eV per cell
# crystal system = triclinic
data_TaInGeS5
_cell_length_a 6.904
_cell_length_b 6.973
_cell_length_c 8.902
_cell_angle_alpha 79.16
_cell_angle_beta 72.02
_cell_angle_gamma 74.61
_symmetry_space_group_name_H-M 'P -1'
_symmetry_Int_Tables_number 2
_symmetry_space_group_name_Hall '-P 1'
loop_
_atom_site_label
_atom_site_type_symbol
_atom_site_fract_x
_atom_site_fract_y
_atom_site_fract_z
Ta1 Ta 0.025 0.240 0.008
In1 In 0.374 0.591 0.285
Ge1 Ge 0.288 0.021 0.621
S1 S 0.104 0.310 0.709
S2 S 0.124 0.771 0.701
S3 S 0.247 0.435 0.027
S4 S 0.257 0.927 0.998
S5 S 0.383 0.063 0.350


No. 10
# SmInGeSe4 (PBE-GGA, relaxed)
# electronic total energy = -64.126 eV per cell
# crystal system = monoclinic
data_SmInGeSe4
_cell_length_a 6.871
_cell_length_b 7.101
_cell_length_c 8.761
_cell_angle_alpha 90.00
_cell_angle_beta 106.94
_cell_angle_gamma 90.00
_symmetry_space_group_name_H-M 'P 1 21 1'
_symmetry_Int_Tables_number 4
_symmetry_space_group_name_Hall 'P 2yb'
loop_
_atom_site_label
_atom_site_type_symbol
_atom_site_fract_x
_atom_site_fract_y
_atom_site_fract_z
Sm1 Sm 0.227 0.000 0.054
In1 In 0.268 0.035 0.571
Ge1 Ge 0.226 0.469 0.820
Se1 Se 0.016 0.743 0.784
Se2 Se 0.026 0.726 0.231
Se3 Se 0.433 0.402 0.086
Se4 Se 0.435 0.451 0.647


No. 11
# Sm2InGe (PBE-GGA, relaxed)
# electronic total energy = -38.830 eV per cell
# crystal system = orthorhombic
data_Sm2InGe
_cell_length_a 4.213
_cell_length_b 4.536
_cell_length_c 11.384
_cell_angle_alpha 90.00
_cell_angle_beta 90.00
_cell_angle_gamma 90.00
_symmetry_space_group_name_H-M 'A m m 2'
_symmetry_Int_Tables_number 38
_symmetry_space_group_name_Hall 'A 2 -2'
loop_
_atom_site_label
_atom_site_type_symbol
_atom_site_fract_x
_atom_site_fract_y
_atom_site_fract_z
Sm1 Sm 0.000 0.000 0.000
Sm2 Sm 0.500 0.000 0.281
In1 In 0.500 0.000 0.565
Ge1 Ge 0.000 0.000 0.729


No. 12
# SrZn2InGe (PBE-GGA, relaxed)
# electronic total energy = -26.302 eV per cell
# crystal system = tetragonal
data_SrZn2InGe
_cell_length_a 4.418
_cell_length_b 4.418
_cell_length_c 11.575
_cell_angle_alpha 90.00
_cell_angle_beta 90.00
_cell_angle_gamma 90.00
_symmetry_space_group_name_H-M 'I 4 m m'
_symmetry_Int_Tables_number 107
_symmetry_space_group_name_Hall 'I 4 -2'
loop_
_atom_site_label
_atom_site_type_symbol
_atom_site_fract_x
_atom_site_fract_y
_atom_site_fract_z
Sr1 Sr 0.000 0.000 0.000
Zn1 Zn 0.000 0.500 0.233
In1 In 0.000 0.000 0.372
Ge1 Ge 0.000 0.000 0.609